1.
First-principles (PBE) data for a geometry-optimized NaTcOs3 structure, as listed in Alexandria via LeMat-Bulk.

DFT formation energy (meV/atom): 2969
VASP energy (eV for the cell shown): -30.53
Energy above the most stable polymorph in this dataset (meV per atom): 988
DOS(E_F) (states/eV/cell): 5.86
Calculated density (g/cm3): 14.03

Geometry as CIF:
```
data_NaTcOs3
_symmetry_space_group_name_H-M 'P m -3 m'
_symmetry_Int_Tables_number 221
_symmetry_space_group_name_Hall '-P 4 2 3'
_cell_length_a 4.3420
_cell_length_b 4.3420
_cell_length_c 4.3420
_cell_angle_alpha 90.00
_cell_angle_beta 90.00
_cell_angle_gamma 90.00
loop_
_atom_site_label
_atom_site_fract_x
_atom_site_fract_y
_atom_site_fract_z
Na1 0.0000 0.0000 0.0000
Tc1 0.5000 0.5000 0.5000
Os1 0.0000 0.0000 0.5000
```

---

2.
First-principles (PBE) data for a geometry-optimized Zr2CrCu structure, as listed in Alexandria via LeMat-Bulk.

DFT formation energy (meV/atom): 807
VASP energy (eV for the cell shown): -110.36
DOS(E_F) (states/eV/cell): 28.84
Calculated density (g/cm3): 6.58

Geometry as CIF:
```
data_Zr2CrCu
_symmetry_space_group_name_H-M 'I -4 2 d'
_symmetry_Int_Tables_number 122
_symmetry_space_group_name_Hall 'I -4 2bw'
_cell_length_a 4.0483
_cell_length_b 4.0483
_cell_length_c 18.3497
_cell_angle_alpha 90.00
_cell_angle_beta 90.00
_cell_angle_gamma 90.00
loop_
_atom_site_label
_atom_site_fract_x
_atom_site_fract_y
_atom_site_fract_z
Zr1 0.2430 0.2500 0.1250
Cr1 0.0000 0.0000 0.0000
Cu1 0.0000 0.0000 0.5000
```

---

3.
First-principles (PBE) data for a geometry-optimized Ti2Al5Pd2Rh structure, as listed in Alexandria via LeMat-Bulk.

DFT formation energy (meV/atom): -565
VASP energy (eV for the cell shown): -115.78
DOS(E_F) (states/eV/cell): 9.28
Calculated density (g/cm3): 5.70

Geometry as CIF:
```
data_Ti2Al5Pd2Rh
_symmetry_space_group_name_H-M 'P 4/m b m'
_symmetry_Int_Tables_number 127
_symmetry_space_group_name_Hall '-P 4 2ab'
_cell_length_a 9.6713
_cell_length_b 9.6713
_cell_length_c 3.4007
_cell_angle_alpha 90.00
_cell_angle_beta 90.00
_cell_angle_gamma 90.00
loop_
_atom_site_label
_atom_site_fract_x
_atom_site_fract_y
_atom_site_fract_z
Ti1 0.1820 0.3180 0.0000
Al1 0.0000 0.5000 0.5000
Al2 0.0445 0.8033 0.5000
Pd1 0.1256 0.6256 0.0000
Rh1 0.0000 0.0000 0.0000
```